6
Lattice="1.943 -4.714 0.000 1.943 4.714 0.000 0.000 0.000 5.318" Properties=species:S:1:pos:R:3 comment="NbZnGa GGA-PBE relaxed" magnetic_moment_mub_per_fu=0.00 formation_enthalpy_0k_ev_per_fu=-0.32 space_group="Cmcm (63)" pbc="T T T"
Nb 1.943 3.105 3.988
Nb 1.943 -3.105 1.329
Zn 1.943 0.000 0.000
Zn 1.943 0.000 2.659
Ga 1.943 3.470 1.329
Ga 1.943 -3.470 3.988